Entry from Alexandria: a geometry-optimized VInOs2F structure (PBE with a Hubbard U).

Cell lengths 4.441, 3.891, 4.441 Å; angles 90.00, 90.00, 90.00 degrees
Element x y z (fractional)
Os 0.000 0.000 0.500
V 0.000 0.500 0.000
Os 0.500 0.000 0.000
F 0.000 0.000 0.000
In 0.500 0.500 0.500

Properties
total DFT energy (no corrections)	-5.7395	eV/atom
total magnetic moment	0.000	Bohr magnetons per cell
crystal system	tetragonal